Below is a geometry-optimized Zr2MnRh structure, with properties calculated at the PBEsol level.

Output
Size of the total moment (μB/atom): 1.002
E_form (kJ/mol of formula units): -62
Space-group type: P4mm
Crystal system: tetragonal

Lattice parameters (Å, degrees): 3.2164 3.2164 6.7429 90.00 90.00 90.00
Closest atoms and distances in Å follow each position.
Sites, in units of the cell vectors:
Mn: 0.0000 0.0000 0.5256  4 Rh 2.69, 5 Zr 2.84-2.95
Zr: 0.0000 0.0000 0.9631  4 Rh 2.73, 1 Mn 2.95
Rh: 0.5000 0.5000 0.7379  4 Mn 2.69, 4 Zr 2.73
Zr: 0.5000 0.5000 0.2733  4 Mn 2.84, 4 Zr 3.09, 1 Rh 3.13